# 1
Density functional theory data (PBE) for a relaxed Pa8As5P3 crystal.

Calculated values
space-group type: R-3m, No. 166
uncorrected energy: -8.373 eV per atom
DFT formation energy: -1158 meV per atom
ρ: 10.24 g/cm³

abc: 8.105 8.105 8.105
angles: 59.88 59.88 59.88
Positions (direct):
Pa 0.241 0.750 0.750
Pa 0.245 0.245 0.245
Pa 0.250 0.250 0.759
Pa 0.250 0.759 0.250
Pa 0.750 0.241 0.750
Pa 0.750 0.750 0.241
Pa 0.755 0.755 0.755
Pa 0.759 0.250 0.250
As 0.000 0.000 0.000
As 0.000 0.500 0.500
As 0.500 0.000 0.500
As 0.500 0.500 0.000
As 0.500 0.500 0.500
P 0.000 0.000 0.500
P 0.000 0.500 0.000
P 0.500 0.000 0.000

***

# 2
Density functional theory data (PBE) for a relaxed PmPaAsP crystal.

Calculated values
space-group type: R3m, No. 160
uncorrected energy: -7.335 eV per atom
DFT formation energy: -1259 meV per atom
ρ: 8.09 g/cm³

abc: 4.041 4.041 20.988
angles: 90.00 90.00 120.00
Positions (direct):
Pm 0.000 0.000 0.000
Pm 0.333 0.667 0.667
Pm 0.667 0.333 0.333
Pa 0.000 0.000 0.182
Pa 0.333 0.667 0.849
Pa 0.667 0.333 0.515
As 0.000 0.000 0.764
As 0.333 0.667 0.430
As 0.667 0.333 0.097
P 0.000 0.000 0.586
P 0.333 0.667 0.253
P 0.667 0.333 0.920

***

# 3
Density functional theory data (PBE) for a relaxed PmPaAsP crystal.

Calculated values
space-group type: F-43m, No. 216
uncorrected energy: -7.032 eV per atom
DFT formation energy: -955 meV per atom
ρ: 9.16 g/cm³

abc: 7.043 7.043 7.043
angles: 90.00 90.00 90.00
Positions (direct):
Pm 0.000 0.000 0.000
Pm 0.000 0.500 0.500
Pm 0.500 0.000 0.500
Pm 0.500 0.500 0.000
Pa 0.000 0.000 0.500
Pa 0.000 0.500 0.000
Pa 0.500 0.000 0.000
Pa 0.500 0.500 0.500
As 0.250 0.250 0.250
As 0.250 0.750 0.750
As 0.750 0.250 0.750
As 0.750 0.750 0.250
P 0.250 0.250 0.750
P 0.250 0.750 0.250
P 0.750 0.250 0.250
P 0.750 0.750 0.750

***

# 4
Density functional theory data (PBE) for a relaxed Pa4As2PPt crystal.

Calculated values
space-group type: P2/m, No. 10
uncorrected energy: -8.353 eV per atom
DFT formation energy: -1011 meV per atom
ρ: 11.36 g/cm³

abc: 7.126 3.952 7.126
angles: 90.00 108.74 90.00
Positions (direct):
Pa 0.237 0.000 0.248
Pa 0.239 0.500 0.741
Pa 0.761 0.500 0.259
Pa 0.763 0.000 0.752
As 0.500 0.000 0.000
As 0.500 0.500 0.500
P 0.000 0.000 0.500
Pt 0.000 0.500 0.000

***

# 5
Density functional theory data (PBE) for a relaxed PuPaAsP crystal.

Calculated values
space-group type: R3m, No. 160
uncorrected energy: -9.636 eV per atom
DFT formation energy: -1164 meV per atom
ρ: 10.28 g/cm³

abc: 4.051 4.051 19.818
angles: 90.00 90.00 120.00
Positions (direct):
Pu 0.000 0.000 0.000
Pu 0.333 0.667 0.667
Pu 0.667 0.333 0.333
Pa 0.000 0.000 0.492
Pa 0.333 0.667 0.158
Pa 0.667 0.333 0.825
As 0.000 0.000 0.245
As 0.333 0.667 0.911
As 0.667 0.333 0.578
P 0.000 0.000 0.747
P 0.333 0.667 0.413
P 0.667 0.333 0.080

***

# 6
Density functional theory data (PBE) for a relaxed Pa6As3P2S crystal.

Calculated values
space-group type: C2/m, No. 12
uncorrected energy: -8.401 eV per atom
ρ: 10.27 g/cm³

abc: 8.984 8.984 8.024
angles: 102.76 102.76 25.92
Positions (direct):
Pa 0.003 0.003 0.240
Pa 0.330 0.330 0.424
Pa 0.337 0.337 0.909
Pa 0.663 0.663 0.091
Pa 0.670 0.670 0.576
Pa 0.997 0.997 0.760
As 0.167 0.167 0.834
As 0.500 0.500 0.500
As 0.833 0.833 0.166
P 0.166 0.166 0.333
P 0.834 0.834 0.667
S 0.500 0.500 0.000

***

# 7
Density functional theory data (PBE) for a relaxed Pa6AsP2S3 crystal.

Calculated values
space-group type: C2/m, No. 12
uncorrected energy: -8.499 eV per atom
ρ: 10.26 g/cm³

abc: 8.748 8.748 7.819
angles: 100.11 100.11 26.44
Positions (direct):
Pa 0.000 0.000 0.237
Pa 0.000 0.000 0.763
Pa 0.329 0.329 0.417
Pa 0.334 0.334 0.916
Pa 0.666 0.666 0.084
Pa 0.671 0.671 0.583
As 0.500 0.500 0.500
P 0.167 0.167 0.833
P 0.833 0.833 0.167
S 0.165 0.165 0.332
S 0.500 0.500 0.000
S 0.835 0.835 0.668

***

# 8
Density functional theory data (PBE) for a relaxed Pa4SbAs2P crystal.

Calculated values
space-group type: P2/m, No. 10
uncorrected energy: -8.028 eV per atom
ρ: 10.19 g/cm³

abc: 7.131 4.110 7.221
angles: 90.00 109.16 90.00
Positions (direct):
Pa 0.240 0.000 0.229
Pa 0.253 0.500 0.768
Pa 0.747 0.500 0.232
Pa 0.760 0.000 0.771
Sb 0.500 0.500 0.500
As 0.000 0.000 0.500
As 0.000 0.500 0.000
P 0.500 0.000 0.000

***

# 9
Density functional theory data (PBE) for a relaxed Pa4AsP2Se crystal.

Calculated values
space-group type: P2/m, No. 10
uncorrected energy: -8.371 eV per atom
ρ: 10.26 g/cm³

abc: 6.907 3.974 7.100
angles: 90.00 108.79 90.00
Positions (direct):
Pa 0.243 0.000 0.233
Pa 0.254 0.500 0.765
Pa 0.746 0.500 0.235
Pa 0.757 0.000 0.767
As 0.000 0.000 0.500
P 0.000 0.500 0.000
P 0.500 0.000 0.000
Se 0.500 0.500 0.500

***

# 10
Density functional theory data (PBE) for a relaxed Pa4AsPSe2 crystal.

Calculated values
space-group type: P2/m, No. 10
uncorrected energy: -8.094 eV per atom
ρ: 10.48 g/cm³

abc: 6.869 4.075 7.145
angles: 90.00 109.77 90.00
Positions (direct):
Pa 0.235 0.000 0.235
Pa 0.242 0.500 0.758
Pa 0.758 0.500 0.242
Pa 0.765 0.000 0.765
As 0.500 0.000 0.000
P 0.000 0.500 0.000
Se 0.000 0.000 0.500
Se 0.500 0.500 0.500

***

# 11
Density functional theory data (PBE) for a relaxed Pa6AsP2Se3 crystal.

Calculated values
space-group type: C2/m, No. 12
uncorrected energy: -8.155 eV per atom
ρ: 10.44 g/cm³

abc: 6.905 6.905 7.183
angles: 99.25 99.25 120.26
Positions (direct):
Pa 0.077 0.420 0.763
Pa 0.233 0.233 0.233
Pa 0.420 0.077 0.763
Pa 0.580 0.923 0.237
Pa 0.767 0.767 0.767
Pa 0.923 0.580 0.237
As 0.500 0.500 0.000
P 0.168 0.832 0.000
P 0.832 0.168 0.000
Se 0.000 0.000 0.500
Se 0.338 0.662 0.500
Se 0.662 0.338 0.500

***

# 12
Density functional theory data (PBE) for a relaxed Pa6As3P2Se crystal.

Calculated values
space-group type: C2/m, No. 12
uncorrected energy: -8.285 eV per atom
ρ: 10.33 g/cm³

abc: 9.027 9.027 8.125
angles: 102.26 102.26 25.83
Positions (direct):
Pa 0.005 0.005 0.253
Pa 0.330 0.330 0.424
Pa 0.332 0.332 0.905
Pa 0.668 0.668 0.095
Pa 0.670 0.670 0.576
Pa 0.995 0.995 0.747
As 0.164 0.164 0.833
As 0.500 0.500 0.500
As 0.836 0.836 0.167
P 0.167 0.167 0.334
P 0.833 0.833 0.666
Se 0.500 0.500 0.000

***

> What is the formula in the eighth record?

Pa4SbAs2P